No. 1
# NaV3Ru GGA-PBE optimized geometry
data_NaV3Ru
_chemical_formula_sum 'Na1 V3 Ru1'
_cell_length_a 4.3313
_cell_length_b 4.3313
_cell_length_c 4.3313
_cell_angle_alpha 90.00
_cell_angle_beta 90.00
_cell_angle_gamma 90.00
_symmetry_space_group_name_H-M 'P m -3 m'
_symmetry_Int_Tables_number 221
_symmetry_space_group_name_Hall '-P 4 2 3'
loop_
_atom_site_label
_atom_site_type_symbol
_atom_site_fract_x
_atom_site_fract_y
_atom_site_fract_z
Na1 Na 0.0000 0.0000 0.0000
V1 V 0.0000 0.0000 0.5000
Ru1 Ru 0.5000 0.5000 0.5000
# energy of formation: 11.41 eV per formula unit
# V: 16.25 Å³ per atom
# energy relative to the lowest polymorph listed for this composition: 1229 meV per atom
# raw total energy: -5.308 eV/atom
# total magnetization: 2.0 μB per formula unit
# density: 5.66 g cm⁻³

=====

No. 2
# NaV3Ru GGA-PBE optimized geometry
data_NaV3Ru
_chemical_formula_sum 'Na1 V3 Ru1'
_cell_length_a 4.6328
_cell_length_b 4.6328
_cell_length_c 4.6328
_cell_angle_alpha 90.00
_cell_angle_beta 90.00
_cell_angle_gamma 90.00
_symmetry_space_group_name_H-M 'P m -3 m'
_symmetry_Int_Tables_number 221
_symmetry_space_group_name_Hall '-P 4 2 3'
loop_
_atom_site_label
_atom_site_type_symbol
_atom_site_fract_x
_atom_site_fract_y
_atom_site_fract_z
Na1 Na 0.0000 0.0000 0.0000
V1 V 0.0000 0.5000 0.5000
Ru1 Ru 0.5000 0.5000 0.5000
# energy of formation: 5.26 eV per formula unit
# V: 19.89 Å³ per atom
# energy relative to the lowest polymorph listed for this composition: 0 meV per atom
# raw total energy: -6.538 eV/atom
# total magnetization: 1.0 μB per formula unit
# density: 4.62 g cm⁻³

=====

No. 3
# Na2RuW2 GGA-PBE optimized geometry
data_Na2RuW2
_chemical_formula_sum 'Na4 Ru2 W4'
_cell_length_a 3.5069
_cell_length_b 3.5069
_cell_length_c 19.5247
_cell_angle_alpha 90.00
_cell_angle_beta 90.00
_cell_angle_gamma 90.00
_symmetry_space_group_name_H-M 'I 4/m m m'
_symmetry_Int_Tables_number 139
_symmetry_space_group_name_Hall '-I 4 2'
loop_
_atom_site_label
_atom_site_type_symbol
_atom_site_fract_x
_atom_site_fract_y
_atom_site_fract_z
Na1 Na 0.0000 0.0000 0.1010
Ru1 Ru 0.0000 0.0000 0.5000
W1 W 0.0000 0.5000 0.2500
# energy of formation: 7.88 eV per formula unit
# V: 24.01 Å³ per atom
# energy relative to the lowest polymorph listed for this composition: 0 meV per atom
# raw total energy: -5.988 eV/atom
# total magnetization: 2.5 μB per formula unit
# density: 7.12 g cm⁻³

=====

No. 4
# Na2RuW2 GGA-PBE optimized geometry
data_Na2RuW2
_chemical_formula_sum 'Na4 Ru2 W4'
_cell_length_a 8.7656
_cell_length_b 8.7656
_cell_length_c 2.5969
_cell_angle_alpha 90.00
_cell_angle_beta 90.00
_cell_angle_gamma 90.00
_symmetry_space_group_name_H-M 'P 4/m b m'
_symmetry_Int_Tables_number 127
_symmetry_space_group_name_Hall '-P 4 2ab'
loop_
_atom_site_label
_atom_site_type_symbol
_atom_site_fract_x
_atom_site_fract_y
_atom_site_fract_z
Na1 Na 0.1979 0.3021 0.0000
Ru1 Ru 0.0000 0.0000 0.0000
W1 W 0.0954 0.5954 0.5000
# energy of formation: 8.19 eV per formula unit
# V: 19.95 Å³ per atom
# energy relative to the lowest polymorph listed for this composition: 62 meV per atom
# raw total energy: -5.926 eV/atom
# total magnetization: 0.7 μB per formula unit
# density: 8.57 g cm⁻³

=====

No. 5
# NaRu2W GGA-PBE optimized geometry
data_NaRu2W
_chemical_formula_sum 'Na4 Ru8 W4'
_cell_length_a 7.1026
_cell_length_b 7.1026
_cell_length_c 5.7270
_cell_angle_alpha 90.00
_cell_angle_beta 90.00
_cell_angle_gamma 90.00
_symmetry_space_group_name_H-M 'I -4 2 d'
_symmetry_Int_Tables_number 122
_symmetry_space_group_name_Hall 'I -4 2bw'
loop_
_atom_site_label
_atom_site_type_symbol
_atom_site_fract_x
_atom_site_fract_y
_atom_site_fract_z
Na1 Na 0.0000 0.0000 0.0000
Ru1 Ru 0.2058 0.2500 0.6250
W1 W 0.0000 0.0000 0.5000
# energy of formation: 3.62 eV per formula unit
# V: 18.06 Å³ per atom
# raw total energy: -7.300 eV/atom
# total magnetization: 0.0 μB per formula unit
# density: 9.40 g cm⁻³

=====

No. 6
# NaRu3W GGA-PBE optimized geometry
data_NaRu3W
_chemical_formula_sum 'Na1 Ru3 W1'
_cell_length_a 4.7544
_cell_length_b 4.7544
_cell_length_c 4.7544
_cell_angle_alpha 90.00
_cell_angle_beta 90.00
_cell_angle_gamma 90.00
_symmetry_space_group_name_H-M 'P m -3 m'
_symmetry_Int_Tables_number 221
_symmetry_space_group_name_Hall '-P 4 2 3'
loop_
_atom_site_label
_atom_site_type_symbol
_atom_site_fract_x
_atom_site_fract_y
_atom_site_fract_z
Na1 Na 0.0000 0.0000 0.0000
Ru1 Ru 0.0000 0.5000 0.5000
W1 W 0.5000 0.5000 0.5000
# energy of formation: 6.88 eV per formula unit
# V: 21.49 Å³ per atom
# energy relative to the lowest polymorph listed for this composition: 0 meV per atom
# raw total energy: -7.045 eV/atom
# total magnetization: 2.5 μB per formula unit
# density: 7.88 g cm⁻³

=====

> Which formula does entry 1 have?

NaV3Ru

=====

> The lowest raw total energy belongs to which entry?

NaRu2W

=====

> What is the density in the fourth record?

8.57 g cm⁻³

=====

> What is the V in the third record?

24.01 Å³ per atom